## OsRu2W (meta-GGA SCAN)

Data for a crystal of OsRu2W relaxed with PBEsol.

## Properties
**Offset from the most stable computed form**: 45 meV/atom
**E_form**: 0.021 eV per atom
**Density of states at the Fermi level**: 0.80 states/eV/atom

Cell: 4.7064 4.7064 4.7064 Å, 132.10 132.10 70.08°
Closest atoms and distances in Å follow each position.
Fractional coordinates of all 4 atoms:
Os (0.0000, 0.0000, 0.0000)  4 W 2.70, 8 Ru 2.71
Ru (0.2500, 0.7500, 0.5000)  4 Ru 2.70, 4 W 2.71, 4 Os 2.71
Ru (0.7500, 0.2500, 0.5000)  4 Ru 2.70, 4 W 2.71, 4 Os 2.71
W (0.5000, 0.5000, 0.0000)  4 Os 2.70, 8 Ru 2.71


## LaSnW3 (meta-GGA SCAN)

Data for a crystal of LaSnW3 relaxed with PBEsol.

## Properties
**E_form**: 2.187 eV per atom
**Density of states at the Fermi level**: 0.84 states/eV/atom

Cell: 4.9485 4.9485 4.9485 Å, 90.00 90.00 90.00°
Closest atoms and distances in Å follow each position.
Fractional coordinates of all 5 atoms:
La (0.0000, 0.0000, 0.0000)  12 W 3.50
Sn (0.5000, 0.5000, 0.5000)  6 W 2.47
W (0.0000, 0.5000, 0.5000)  2 Sn 2.47
W (0.5000, 0.0000, 0.5000)  2 Sn 2.47
W (0.5000, 0.5000, 0.0000)  2 Sn 2.47


## In2SiSb (meta-GGA SCAN)

Data for a crystal of In2SiSb relaxed with PBEsol.

## Properties
**Energy relative to the elements, uncorrected**: 0.411 eV per atom
**Offset from the most stable computed form**: 0 meV/atom
**Density of states at the Fermi level**: 0.45 states/eV/atom

Cell: 3.9607 4.6479 5.0524 Å, 90.00 90.00 90.00°
Closest atoms and distances in Å follow each position.
Fractional coordinates of all 4 atoms:
In (0.0000, 0.0000, 0.0000)  4 In 3.05, 4 Sb 3.21
In (0.5000, 0.5000, 0.0000)  4 In 3.05, 4 Si 3.21
Si (0.0000, 0.5000, 0.5000)  4 Sb 3.05, 4 In 3.21
Sb (0.5000, 0.0000, 0.5000)  4 Si 3.05, 4 In 3.21


## ReIrAu2 (meta-GGA SCAN)

Data for a crystal of ReIrAu2 relaxed with PBEsol.

## Properties
**Offset from the most stable computed form**: 4 meV/atom
**E_form**: 0.563 eV per atom
**Density of states at the Fermi level**: 0.75 states/eV/atom

Cell: 2.7884 2.7884 7.9031 Å, 90.00 90.00 90.00°
Closest atoms and distances in Å follow each position.
Fractional coordinates of all 4 atoms:
Re (0.0000, 0.0000, 0.0000)  8 Au 2.78, 4 Re 2.79
Ir (0.0000, 0.0000, 0.5000)  4 Ir 2.79, 8 Au 2.80
Au (0.5000, 0.5000, 0.2483)  4 Re 2.78, 4 Au 2.79, 4 Ir 2.80
Au (0.5000, 0.5000, 0.7517)  4 Re 2.78, 4 Au 2.79, 4 Ir 2.80


## CoReAs2 (meta-GGA SCAN)

Data for a crystal of CoReAs2 relaxed with PBEsol.

## Properties
**Offset from the most stable computed form**: 399 meV/atom
**E_form**: 0.605 eV per atom
**Density of states at the Fermi level**: 0.60 states/eV/atom

Cell: 4.8917 4.8917 2.9674 Å, 107.61 107.61 107.62°
Closest atoms and distances in Å follow each position.
Fractional coordinates of all 4 atoms:
Co (0.0000, 0.0000, 0.0000)  4 As 2.45
Re (0.5000, 0.5000, 0.0000)  4 As 2.45
As (0.0000, 0.5000, 0.0000)  2 Re 2.45, 2 Co 2.45
As (0.5000, 0.0000, 0.0000)  2 Re 2.45, 2 Co 2.45


## CsSrSiHO4 (meta-GGA SCAN)

Data for a crystal of CsSrSiHO4 relaxed with PBEsol.

## Properties
**Density of states at the Fermi level**: 0.00 states/eV/atom
**VASP energy**: -14.88 eV per atom

Cell: 5.6950 8.0842 6.2679 Å, 90.00 116.76 90.00°
Closest atoms and distances in Å follow each position.
Fractional coordinates of all 16 atoms:
Cs (0.1509, 0.0000, 0.3853)  2 H 2.99-3.06, 9 O 3.02-3.27
Cs (0.8491, 0.5000, 0.6147)  2 H 2.99-3.06, 9 O 3.02-3.27
Sr (0.4663, 0.7475, 0.9011)  5 O 2.39-2.61
Sr (0.5337, 0.2475, 0.0989)  5 O 2.39-2.61
Si (0.1594, 0.5605, 0.2410)  4 O 1.63-1.70
Si (0.8406, 0.0605, 0.7590)  4 O 1.63-1.70
H (0.0206, 0.3017, 0.0775)  1 O 1.08
H (0.9794, 0.8017, 0.9225)  1 O 1.08
O (0.0093, 0.8807, 0.7970)  1 H 1.08
O (0.0653, 0.1967, 0.9221)  1 H 1.40
O (0.3000, 0.6133, 0.5217)  1 Si 1.63
O (0.3692, 0.5321, 0.1302)  1 Si 1.65
O (0.6308, 0.0321, 0.8698)  1 Si 1.65
O (0.7000, 0.1133, 0.4783)  1 Si 1.63
O (0.9347, 0.6967, 0.0779)  1 H 1.40
O (0.9907, 0.3807, 0.2030)  1 H 1.08


## BiHIr3 (meta-GGA SCAN)

Data for a crystal of BiHIr3 relaxed with PBEsol.

## Properties
**Density of states at the Fermi level**: 0.43 states/eV/atom
**VASP energy**: -58.50 eV per atom

Cell: 4.0733 4.0733 4.0733 Å, 90.00 90.00 90.00°
Closest atoms and distances in Å follow each position.
Fractional coordinates of all 5 atoms:
Bi (0.0000, 0.0000, 0.0000)  12 Ir 2.88
H (0.5000, 0.5000, 0.5000)  6 Ir 2.04
Ir (0.0000, 0.5000, 0.5000)  2 H 2.04
Ir (0.5000, 0.0000, 0.5000)  2 H 2.04
Ir (0.5000, 0.5000, 0.0000)  2 H 2.04


## CuTc2Br (meta-GGA SCAN)

Data for a crystal of CuTc2Br relaxed with PBEsol.

## Properties
**Energy relative to the elements, uncorrected**: 0.988 eV per atom
**Offset from the most stable computed form**: 299 meV/atom
**Density of states at the Fermi level**: 0.53 states/eV/atom

Cell: 4.5092 4.5092 4.5092 Å, 126.09 126.09 79.74°
Closest atoms and distances in Å follow each position.
Fractional coordinates of all 4 atoms:
Cu (0.0000, 0.0000, 0.0000)  4 Br 2.68, 8 Tc 2.68-2.89
Tc (0.5000, 0.5000, 0.0000)  4 Br 2.68, 4 Tc 2.68, 4 Cu 2.89
Tc (0.7500, 0.2500, 0.5000)  4 Tc 2.68, 4 Cu 2.68, 4 Br 2.89
Br (0.2500, 0.7500, 0.5000)  8 Tc 2.68-2.89, 4 Cu 2.68


## Li4Nb3Co3Te2O16 (meta-GGA SCAN)

Data for a crystal of Li4Nb3Co3Te2O16 relaxed with PBEsol.

## Properties
**Energy relative to the elements, uncorrected**: -1.940 eV per atom

Cell: 5.9415 5.9415 10.4032 Å, 90.48 90.48 60.22°
Closest atoms and distances in Å follow each position.
Fractional coordinates of all 28 atoms:
Li (0.0000, 0.0000, 0.0000)  4 O 1.97-2.08
Li (0.0061, 0.0061, 0.4825)  4 O 1.90-2.06
Li (0.3271, 0.3271, 0.4010)  4 O 1.92-2.00
Li (0.6584, 0.6584, 0.9078)  4 O 1.94-1.98
Nb (0.1537, 0.6453, 0.7189)  5 O 1.91-2.06
Nb (0.6453, 0.1537, 0.7189)  5 O 1.91-2.06
Nb (0.8138, 0.8138, 0.2309)  4 O 1.93-2.02
Co (0.1868, 0.1868, 0.7136)  6 O 2.04-2.23
Co (0.3606, 0.8068, 0.2181)  6 O 2.04-2.16
Co (0.8068, 0.3606, 0.2181)  6 O 2.04-2.16
Te (0.3226, 0.3226, 0.0179)  3 O 1.93-1.97
Te (0.6403, 0.6403, 0.4949)  3 O 1.99-2.00
O (0.0006, 0.5069, 0.8309)  1 Nb 1.91, 1 Li 1.94, 1 Co 2.06
O (0.1596, 0.1596, 0.1082)  1 Te 1.93, 1 Li 1.98, 2 Co 2.16
O (0.1624, 0.6601, 0.1071)  1 Te 1.97, 1 Li 2.08, 1 Co 2.11
O (0.3143, 0.8285, 0.5961)  1 Li 1.98, 1 Te 1.99, 1 Nb 2.19
O (0.3421, 0.3421, 0.5931)  1 Li 2.00, 1 Co 2.04, 2 Nb 2.05
O (0.4860, 0.4860, 0.8221)  1 Li 1.98, 2 Nb 2.02
O (0.5069, 0.0006, 0.8309)  1 Nb 1.91, 1 Li 1.94, 1 Co 2.06
O (0.5093, 0.5093, 0.3518)  1 Li 1.95, 1 Te 2.00, 2 Co 2.08
O (0.5122, 0.9750, 0.3405)  1 Li 1.92, 1 Nb 1.93, 1 Co 2.07
O (0.6601, 0.1624, 0.1071)  1 Te 1.97, 1 Li 2.08, 1 Co 2.11
O (0.6701, 0.6701, 0.0977)  1 Li 1.98, 1 Nb 2.02, 2 Co 2.04
O (0.8285, 0.3143, 0.5961)  1 Li 1.98, 1 Te 1.99, 1 Nb 2.19
O (0.8477, 0.8477, 0.6019)  2 Nb 2.01, 1 Li 2.06
O (0.9750, 0.5122, 0.3405)  1 Li 1.92, 1 Nb 1.93, 1 Co 2.07
O (0.9938, 0.9938, 0.2997)  1 Li 1.90, 1 Nb 1.98, 2 Co 2.08
O (0.9994, 0.9994, 0.8106)  1 Li 1.97, 2 Nb 2.06, 1 Co 2.18


## CaSi3Sb (meta-GGA SCAN)

Data for a crystal of CaSi3Sb relaxed with PBEsol.

## Properties
**Energy relative to the elements, uncorrected**: 0.953 eV per atom
**Density of states at the Fermi level**: 0.59 states/eV/atom

Cell: 5.1307 5.1307 5.1307 Å, 90.00 90.00 90.00°
Closest atoms and distances in Å follow each position.
Fractional coordinates of all 5 atoms:
Ca (0.0000, 0.0000, 0.0000)  12 Si 3.63
Si (0.0000, 0.5000, 0.5000)  2 Sb 2.57
Si (0.5000, 0.0000, 0.5000)  2 Sb 2.57
Si (0.5000, 0.5000, 0.0000)  2 Sb 2.57
Sb (0.5000, 0.5000, 0.5000)  6 Si 2.57